Compound: Na3Cu4F12
Source: Alexandria via LeMat-Bulk
Functional: PBE
Structure: optimized geometry

a = 7.7804 Å, b = 7.7804 Å, c = 7.7804 Å
α = 90.00°, β = 90.00°, γ = 90.00°
Last column: nearest neighbours and their distance in Å.
Space group Im-3 (No. 204)
Symmetry-distinct sites (fractional):
Na1 0.0000 0.0000 0.5000 [6 per cell]  4 F 2.37
Cu1 0.2500 0.2500 0.2500 [8 per cell]  6 F 1.98
F1 0.0000 0.2903 0.2201 [24 per cell]  2 Cu 1.98

Summary:
Size of the total moment ... 2.460 Bohr magnetons per cell
Energy relative to the elements, uncorrected ... -1931 meV per atom